No. 1
DFT (PBE) results for Hf2Sc2Ta after structural relaxation.

```
data_Hf2Sc2Ta
_cell_length_a 7.232
_cell_length_b 7.232
_cell_length_c 4.372
_cell_angle_alpha 90.00
_cell_angle_beta 90.00
_cell_angle_gamma 90.00
_space_group_name_H-M_alt 'P 4/m b m'
_space_group_IT_number 127
_space_group_name_Hall '-P 4 2ab'
loop_
_atom_site_label
_atom_site_type_symbol
_atom_site_fract_x
_atom_site_fract_y
_atom_site_fract_z
_atom_site_occupancy
Hf1 Hf 0.144 0.356 0.000 1
Sc1 Sc 0.159 0.659 0.500 1
Ta1 Ta 0.000 0.000 0.000 1
```

Computed properties:
formation energy from the elements	0.40	eV/atom
DOS at the Fermi energy	1.22	states/eV per atom

No. 2
DFT (PBE) results for Sc3TiZn after structural relaxation.

```
data_Sc3TiZn
_cell_length_a 5.017
_cell_length_b 5.017
_cell_length_c 5.017
_cell_angle_alpha 90.00
_cell_angle_beta 90.00
_cell_angle_gamma 90.00
_space_group_name_H-M_alt 'P m -3 m'
_space_group_IT_number 221
_space_group_name_Hall '-P 4 2 3'
loop_
_atom_site_label
_atom_site_type_symbol
_atom_site_fract_x
_atom_site_fract_y
_atom_site_fract_z
_atom_site_occupancy
Sc1 Sc 0.000 0.000 0.500 1
Ti1 Ti 0.500 0.500 0.500 1
Zn1 Zn 0.000 0.000 0.000 1
```

Computed properties:
relative energy among the computed polymorphs	0.00	eV/f.u.
formation energy from the elements	0.53	eV/atom
DOS at the Fermi energy	2.19	states/eV per atom

No. 3
DFT (PBE) results for Rb3GaI after structural relaxation.

```
data_Rb3GaI
_cell_length_a 7.010
_cell_length_b 7.010
_cell_length_c 7.010
_cell_angle_alpha 90.00
_cell_angle_beta 90.00
_cell_angle_gamma 90.00
_space_group_name_H-M_alt 'P m -3 m'
_space_group_IT_number 221
_space_group_name_Hall '-P 4 2 3'
loop_
_atom_site_label
_atom_site_type_symbol
_atom_site_fract_x
_atom_site_fract_y
_atom_site_fract_z
_atom_site_occupancy
Rb1 Rb 0.000 0.000 0.500 1
Ga1 Ga 0.500 0.500 0.500 1
I1 I 0.000 0.000 0.000 1
```

Computed properties:
relative energy among the computed polymorphs	0.00	eV/f.u.
DOS at the Fermi energy	0.91	states/eV per atom
formation energy from raw total energies	-262.5	meV per atom